Sr4TlRh (PBE, optimized geometry); energy relative to the elements = -286 meV/atom; space group = C2/c, No. 15; density = 5019 kg/m3; energy above the lowest structure with this stoichiometry = 0 meV per atom
1.0
4.740 -7.133 0.000
4.740 7.133 0.000
-2.000 0.000 6.437
Sr Tl Rh
8 2 2
direct
0.057 0.728 0.956
0.211 0.361 0.608
0.272 0.943 0.544
0.361 0.211 0.108
0.639 0.789 0.892
0.728 0.057 0.456
0.789 0.639 0.392
0.943 0.272 0.044
0.368 0.632 0.250
0.632 0.368 0.750
0.001 0.999 0.750
0.999 0.001 0.250

=====

AsP2Os (PBE, optimized geometry); energy relative to the elements = 459 meV/atom; space group = Immm, No. 71; density = 8075 kg/m3
1.0
-1.459 2.215 5.203
1.459 -2.215 5.203
1.459 2.215 -5.203
As P Os
1 2 1
direct
0.000 0.000 0.000
0.311 0.811 0.500
0.689 0.189 0.500
0.500 0.500 0.000

=====

CaAlIr2 (PBE, optimized geometry); energy relative to the elements = -68 meV/atom; space group = I-42d, No. 122; density = 8003 kg/m3
1.0
-2.355 2.355 8.446
2.355 -2.355 8.446
2.355 2.355 -8.446
Ca Al Ir
2 2 4
direct
0.000 0.000 0.000
0.750 0.250 0.500
0.250 0.750 0.500
0.500 0.500 0.000
0.294 0.625 0.169
0.375 0.544 0.669
0.456 0.125 0.831
0.875 0.706 0.331